# SmNi3Sn2 | Alexandria via LeMat-Bulk | GGA-PBE | optimized geometry
data_SmNi3Sn2
_chemical_formula_sum 'Sm1 Ni3 Sn2'
_cell_length_a 5.644
_cell_length_b 5.644
_cell_length_c 3.980
_cell_angle_alpha 90.00
_cell_angle_beta 90.00
_cell_angle_gamma 120.00
_space_group_name_H-M_alt 'P 1'
_space_group_IT_number 1
_space_group_name_Hall 'P 1'
loop_
_atom_site_label
_atom_site_fract_x
_atom_site_fract_y
_atom_site_fract_z
_atom_site_occupancy
Sm1 0.000 0.000 0.000 1
Ni1 0.000 0.500 0.500 1
Ni2 0.500 0.000 0.500 1
Ni3 0.500 0.500 0.500 1
Sn1 0.333 0.667 0.000 1
Sn2 0.667 0.333 0.000 1
# - volume (Å³ per cell) = 110
# - energy of formation from the pure elements (eV/atom) = -0.311